--- a ---
## La2SmSn (PBE)

Data for a relaxed structure of La2SmSn.

Unit cell a=5.649 b=5.649 c=5.649 alpha=60.00 beta=60.00 gamma=60.00
Fractional coordinates of all 4 atoms:
Sn 0.500 0.500 0.500
Sm 0.000 0.000 0.000
La 0.250 0.250 0.250
La 0.750 0.750 0.750

magnetic moment	0.0	Bohr magnetons per cell
volume	127.5	Å³ per cell
SG	Fm-3m (225)

---

--- b ---
## La2SmSn (PBE)

Data for a relaxed structure of La2SmSn.

Unit cell a=3.626 b=3.626 c=12.622 alpha=81.74 beta=81.74 gamma=60.00
Fractional coordinates of all 4 atoms:
Sn 0.000 0.000 0.000
Sm 0.500 0.500 0.500
La 0.087 0.087 0.738
La 0.913 0.913 0.262

magnetic moment	0.0	Bohr magnetons per cell
volume	141.7	Å³ per cell
SG	R-3m (166)

---

--- c ---
## La2SmSn (PBE)

Data for a relaxed structure of La2SmSn.

Unit cell a=5.822 b=6.936 c=7.045 alpha=90.00 beta=90.00 gamma=114.81
Fractional coordinates of all 8 atoms:
La 0.380 0.759 0.974
La 0.620 0.241 0.026
La 0.620 0.241 0.474
La 0.380 0.759 0.526
Sm 0.078 0.157 0.750
Sm 0.922 0.843 0.250
Sn 0.832 0.663 0.750
Sn 0.168 0.337 0.250

magnetic moment	0.0	Bohr magnetons per cell
volume	258.2	Å³ per cell
SG	Cmcm (63)

---

c is the most stable structure; the next one sits 65 meV/atom above it.

---

--- a ---
## La3SmSn2 (PBE)

Data for a relaxed structure of La3SmSn2.

Unit cell a=5.373 b=3.388 c=9.583 alpha=90.00 beta=90.00 gamma=90.00
Fractional coordinates of all 6 atoms:
La 0.000 0.500 0.162
La 0.000 0.500 0.842
La 0.500 0.500 0.334
Sm 0.500 0.500 0.660
Sn 0.500 0.000 0.996
Sn 0.000 0.000 0.506

magnetic moment	0.0	Bohr magnetons per cell
volume	174.4	Å³ per cell
SG	Pmm2 (25)

---

--- b ---
## La3SmSn2 (PBE)

Data for a relaxed structure of La3SmSn2.

Unit cell a=6.704 b=6.695 c=10.086 alpha=109.38 beta=109.41 gamma=90.00
Last column: magnetic moment on the atom in μB.
Fractional coordinates of all 12 atoms:
La 0.429 0.677 0.353  0.09
La 0.571 0.323 0.647  0.09
La 0.075 0.823 0.647  0.09
La 0.925 0.177 0.353  0.09
La 0.500 0.750 0.000  0.05
La 0.500 0.250 0.000  0.05
Sm 0.000 0.250 0.000  0.05
Sm 0.000 0.750 0.000  0.05
Sn 0.381 0.136 0.272  0.00
Sn 0.619 0.864 0.728  0.00
Sn 0.108 0.364 0.728  0.00
Sn 0.892 0.636 0.272  0.00

magnetic moment	1.6	Bohr magnetons per cell
volume	399.6	Å³ per cell
SG	Ibam (72)

---

b is the most stable structure; the next one sits 298 meV/atom above it.

---

--- a ---
## La4SmSn2 (PBE)

Data for a relaxed structure of La4SmSn2.

Unit cell a=5.542 b=5.542 c=9.227 alpha=107.48 beta=107.48 gamma=90.00
Last column: magnetic moment on the atom in μB.
Fractional coordinates of all 7 atoms:
La 0.819 0.819 0.639  0.00
La 0.181 0.181 0.361  0.00
La 0.000 0.500 0.000  0.12
La 0.500 0.000 0.000  0.12
Sm 0.000 0.000 0.000  0.27
Sn 0.632 0.632 0.264  0.00
Sn 0.368 0.368 0.736  0.00

magnetic moment	0.6	Bohr magnetons per cell
volume	256.6	Å³ per cell
SG	I4/mmm (139)

---

--- b ---
## La4SmSn2 (PBE)

Data for a relaxed structure of La4SmSn2.

Unit cell a=4.972 b=6.967 c=6.967 alpha=98.94 beta=90.00 gamma=90.00
Fractional coordinates of all 7 atoms:
La 0.000 0.791 0.791
La 0.000 0.209 0.209
La 0.500 0.000 0.500
La 0.500 0.500 0.000
Sm 0.500 0.500 0.500
Sn 0.000 0.716 0.284
Sn 0.000 0.284 0.716

magnetic moment	0.0	Bohr magnetons per cell
volume	238.4	Å³ per cell
SG	Cmmm (65)

---

b is the most stable structure; the next one sits 568 meV/atom above it.

---

--- a ---
## La2Tb5Sm12 (PBE)

Data for a relaxed structure of La2Tb5Sm12.

Unit cell a=10.076 b=9.561 c=7.954 alpha=90.01 beta=90.00 gamma=121.80
Fractional coordinates of all 19 atoms:
La 0.789 0.000 0.000
La 0.211 0.000 0.000
Tb 0.248 0.496 0.509
Tb 0.354 0.708 0.081
Tb 0.000 0.000 0.500
Tb 0.646 0.292 0.919
Tb 0.752 0.504 0.491
Sm 0.836 0.672 0.124
Sm 0.038 0.612 0.794
Sm 0.573 0.612 0.794
Sm 0.168 0.788 0.390
Sm 0.620 0.788 0.390
Sm 0.449 0.898 0.710
Sm 0.551 0.102 0.290
Sm 0.832 0.212 0.610
Sm 0.380 0.212 0.610
Sm 0.962 0.388 0.206
Sm 0.427 0.388 0.206
Sm 0.164 0.328 0.876

magnetic moment	0.0	Bohr magnetons per cell
volume	651.3	Å³ per cell
SG	C2/m (12)

---

--- b ---
## La2Tb5Sm12 (PBE)

Data for a relaxed structure of La2Tb5Sm12.

Unit cell a=9.359 b=12.518 c=8.779 alpha=132.75 beta=90.00 gamma=111.95
Fractional coordinates of all 19 atoms:
La 0.671 0.000 0.000
La 0.329 0.000 0.000
Tb 0.291 0.583 0.613
Tb 0.231 0.462 0.893
Tb 0.000 0.000 0.500
Tb 0.769 0.538 0.107
Tb 0.709 0.417 0.387
Sm 0.076 0.151 0.275
Sm 0.029 0.699 0.940
Sm 0.670 0.699 0.940
Sm 0.176 0.741 0.413
Sm 0.564 0.741 0.413
Sm 0.561 0.122 0.779
Sm 0.439 0.878 0.221
Sm 0.824 0.259 0.587
Sm 0.436 0.259 0.587
Sm 0.971 0.301 0.060
Sm 0.330 0.301 0.060
Sm 0.924 0.849 0.725

magnetic moment	0.0	Bohr magnetons per cell
volume	650.0	Å³ per cell
SG	C2/m (12)

---

a is the most stable structure; the next one sits 12 meV/atom above it.

---

--- a ---
## LaTb3Sm4 (PBE)

Data for a relaxed structure of LaTb3Sm4.

Unit cell a=3.486 b=11.784 c=8.983 alpha=130.98 beta=101.19 gamma=90.00
Fractional coordinates of all 8 atoms:
Tb 0.000 0.500 0.000
Tb 0.242 0.242 0.483
Tb 0.758 0.758 0.517
Sm 0.366 0.615 0.732
Sm 0.634 0.385 0.268
Sm 0.634 0.883 0.268
Sm 0.366 0.117 0.732
La 0.500 0.000 0.000

magnetic moment	0.0	Bohr magnetons per cell
volume	269.2	Å³ per cell
SG	Immm (71)

---

--- b ---
## LaTb3Sm4 (PBE)

Data for a relaxed structure of LaTb3Sm4.

Unit cell a=6.356 b=7.356 c=11.621 alpha=90.00 beta=90.00 gamma=90.00
Fractional coordinates of all 16 atoms:
La 0.146 0.375 0.000
La 0.646 0.625 0.500
Tb 0.648 0.625 0.000
Tb 0.981 0.624 0.251
Tb 0.481 0.376 0.249
Tb 0.148 0.375 0.500
Tb 0.481 0.376 0.751
Tb 0.981 0.624 0.749
Sm 0.146 0.874 0.000
Sm 0.650 0.125 0.000
Sm 0.982 0.125 0.253
Sm 0.482 0.875 0.247
Sm 0.150 0.875 0.500
Sm 0.646 0.126 0.500
Sm 0.482 0.875 0.753
Sm 0.982 0.125 0.747

magnetic moment	0.0	Bohr magnetons per cell
volume	543.4	Å³ per cell
SG	Pmn2_1 (31)

---

b is the most stable structure; the next one sits 98 meV/atom above it.